# GGA-PBE NdTh2Bi3, relaxed
data_NdTh2Bi3
_chemical_formula_sum 'Nd2 Th4 Bi6'
_cell_length_a 4.5923
_cell_length_b 6.5017
_cell_length_c 13.8317
_cell_angle_alpha 90.00
_cell_angle_beta 90.00
_cell_angle_gamma 90.00
_space_group_name_H-M_alt 'I m m m'
_space_group_IT_number 71
_space_group_name_Hall '-I 2 2'
loop_
_atom_site_label
_atom_site_type_symbol
_atom_site_fract_x
_atom_site_fract_y
_atom_site_fract_z
Nd1 Nd 0.0000 0.0000 0.0000
Th1 Th 0.0000 0.0000 0.3341
Bi1 Bi 0.0000 0.5000 0.0000
Bi2 Bi 0.0000 0.5000 0.3330
# Distance to the lowest polymorph of the same formula: 0.0 meV/atom
# Crystal system: orthorhombic
# Calculated volume: 34.4 Å³ per atom
# E_form: -0.70 eV/atom
# DFT total energy: -5.908 eV per atom

---

# GGA-PBE BaTcIr2, relaxed
data_BaTcIr2
_chemical_formula_sum 'Ba2 Tc2 Ir4'
_cell_length_a 5.9699
_cell_length_b 8.6149
_cell_length_c 2.9326
_cell_angle_alpha 90.00
_cell_angle_beta 90.00
_cell_angle_gamma 90.00
_space_group_name_H-M_alt 'C m m m'
_space_group_IT_number 65
_space_group_name_Hall '-C 2 2'
loop_
_atom_site_label
_atom_site_type_symbol
_atom_site_fract_x
_atom_site_fract_y
_atom_site_fract_z
Ba1 Ba 0.0000 0.0000 0.0000
Tc1 Tc 0.0000 0.5000 0.0000
Ir1 Ir 0.2500 0.2500 0.5000
# Distance to the lowest polymorph of the same formula: 795.6 meV/atom
# Crystal system: orthorhombic
# Calculated volume: 18.9 Å³ per atom
# E_form: 0.89 eV/atom
# DFT total energy: -6.613 eV per atom

---

# GGA-PBE TaRh3, relaxed
data_TaRh3
_chemical_formula_sum 'Ta4 Rh12'
_cell_length_a 7.5573
_cell_length_b 7.3615
_cell_length_c 4.7055
_cell_angle_alpha 90.00
_cell_angle_beta 90.00
_cell_angle_gamma 90.00
_space_group_name_H-M_alt 'C m c m'
_space_group_IT_number 63
_space_group_name_Hall '-C 2c 2'
loop_
_atom_site_label
_atom_site_type_symbol
_atom_site_fract_x
_atom_site_fract_y
_atom_site_fract_z
Ta1 Ta 0.0000 0.1064 0.2500
Rh1 Rh 0.0000 0.4365 0.2500
Rh2 Rh 0.1720 0.2237 0.7500
# Crystal system: orthorhombic
# Calculated volume: 16.4 Å³ per atom
# E_form: 0.08 eV/atom
# DFT total energy: -8.400 eV per atom

---

# GGA-PBE Sc2Pt8Rh, relaxed
data_Sc2Pt8Rh
_chemical_formula_sum 'Sc4 Pt16 Rh2'
_cell_length_a 14.1992
_cell_length_b 5.3025
_cell_length_c 4.9502
_cell_angle_alpha 90.00
_cell_angle_beta 93.15
_cell_angle_gamma 90.00
_space_group_name_H-M_alt 'C 1 2/m 1'
_space_group_IT_number 12
loop_
_space_group_symop_operation_xyz
'x,y,z'
'-x,-y,-z'
'-x,y,-z'
'x,-y,z'
'x+1/2,y+1/2,z'
'-x+1/2,-y+1/2,-z'
'-x+1/2,y+1/2,-z'
'x+1/2,-y+1/2,z'
loop_
_atom_site_label
_atom_site_type_symbol
_atom_site_fract_x
_atom_site_fract_y
_atom_site_fract_z
Sc1 Sc 0.1784 0.0000 0.3646
Pt1 Pt 0.0857 0.5000 0.4003
Pt2 Pt 0.0881 0.2510 0.9047
Pt3 Pt 0.2456 0.5000 0.1387
Rh1 Rh 0.0000 0.0000 0.5000
# Crystal system: monoclinic
# Calculated volume: 16.9 Å³ per atom
# E_form: -0.51 eV/atom
# DFT total energy: -6.726 eV per atom

---

# GGA-PBE NiOs2, relaxed
data_NiOs2
_chemical_formula_sum 'Ni4 Os8'
_cell_length_a 2.7160
_cell_length_b 13.7440
_cell_length_c 4.2973
_cell_angle_alpha 90.00
_cell_angle_beta 90.00
_cell_angle_gamma 90.00
_space_group_name_H-M_alt 'C m c m'
_space_group_IT_number 63
_space_group_name_Hall '-C 2c 2'
loop_
_atom_site_label
_atom_site_type_symbol
_atom_site_fract_x
_atom_site_fract_y
_atom_site_fract_z
Ni1 Ni 0.0000 0.2241 0.2500
Os1 Os 0.0000 0.1151 0.7500
Os2 Os 0.0000 0.4426 0.7500
# Distance to the lowest polymorph of the same formula: 40.2 meV/atom
# Crystal system: orthorhombic
# Calculated volume: 13.4 Å³ per atom
# E_form: 0.08 eV/atom
# DFT total energy: -9.334 eV per atom

---

# GGA-PBE CsCa2Zn2, relaxed
data_CsCa2Zn2
_chemical_formula_sum 'Cs2 Ca4 Zn4'
_cell_length_a 5.5219
_cell_length_b 5.5219
_cell_length_c 11.8632
_cell_angle_alpha 90.00
_cell_angle_beta 90.00
_cell_angle_gamma 90.00
_space_group_name_H-M_alt 'I 4/m m m'
_space_group_IT_number 139
_space_group_name_Hall '-I 4 2'
loop_
_atom_site_label
_atom_site_type_symbol
_atom_site_fract_x
_atom_site_fract_y
_atom_site_fract_z
Cs1 Cs 0.0000 0.0000 0.0000
Ca1 Ca 0.0000 0.5000 0.2500
Zn1 Zn 0.0000 0.0000 0.3916
# Distance to the lowest polymorph of the same formula: 24.1 meV/atom
# Crystal system: tetragonal
# Calculated volume: 36.2 Å³ per atom
# E_form: 0.08 eV/atom
# DFT total energy: -1.400 eV per atom